Record 1
Computed, not measured: an optimized crystal structure of Ni5GePt6 at the GGA-PBE level of DFT.

a b c (Å): 3.9131 7.2048 7.1412
angles (deg): 120.29 105.94 90.00
Closest atoms and distances in Å follow each position.
Element x y z (fractional)
Pt1 0.1673 0.4139 0.3348  7 Ni 2.59-2.68, 1 Ge 2.64, 4 Pt 2.75-2.77
Pt2 0.8327 0.5861 0.6652  7 Ni 2.59-2.68, 1 Ge 2.64, 4 Pt 2.75-2.77
Ni1 0.6747 0.1752 0.3503  8 Pt 2.59-2.70, 2 Ni 2.73, 2 Ge 2.83
Ni2 0.3253 0.8248 0.6497  8 Pt 2.59-2.70, 2 Ni 2.73, 2 Ge 2.83
Pt3 0.8328 0.0791 0.6652  7 Ni 2.59-2.68, 1 Ge 2.64, 4 Pt 2.75-2.77
Ni3 0.6621 0.6621 0.3241  8 Pt 2.64-2.68, 4 Ni 2.72-2.73
Pt4 0.5000 0.7556 0.0000  2 Ge 2.63, 6 Ni 2.64-2.70, 4 Pt 2.77
Pt5 0.1672 0.9209 0.3348  7 Ni 2.59-2.68, 1 Ge 2.64, 4 Pt 2.75-2.77
Pt6 0.5000 0.2444 0.0000  2 Ge 2.63, 6 Ni 2.64-2.70, 4 Pt 2.77
Ge1 0.0000 0.0000 0.0000  8 Pt 2.63-2.64, 4 Ni 2.83
Ni4 0.0000 0.5000 0.0000  8 Pt 2.68-2.69, 4 Ni 2.72
Ni5 0.3379 0.3379 0.6759  8 Pt 2.64-2.68, 4 Ni 2.72-2.73

Properties
As for the crystal system: orthorhombic. The value obtained for the formation energy is -0.161 eV/atom.


Record 2
Computed, not measured: an optimized crystal structure of NaMgPbAu at the GGA-PBE level of DFT.

a b c (Å): 3.4550 3.4550 7.9545
angles (deg): 90.00 90.00 90.00
Closest atoms and distances in Å follow each position.
Element x y z (fractional)
Na1 0.0000 0.0000 0.1045  4 Au 3.16, 1 Mg 3.37, 4 Na 3.45, 4 Pb 3.46
Au1 0.5000 0.5000 0.3569  4 Mg 2.80
Pb1 0.5000 0.5000 0.7956  4 Mg 3.24, 4 Pb 3.45, 4 Na 3.46, 1 Au 3.49
Mg1 0.0000 0.0000 0.5277  4 Au 2.80

Properties
As for the crystal system: tetragonal. The value obtained for the formation energy is -0.292 eV/atom. Its offset from the most stable computed form is 0 meV per atom.


Record 3
Computed, not measured: an optimized crystal structure of Zr6Ti2Rh at the GGA-PBE level of DFT.

a b c (Å): 2.9553 8.4002 8.4002
angles (deg): 120.00 90.13 90.00
Closest atoms and distances in Å follow each position.
Element x y z (fractional)
Rh1 0.0000 0.0000 0.0000  2 Rh 2.96, 12 Zr 3.12-3.14
Ti1 0.0000 0.3333 0.6667  2 Ti 2.96, 12 Zr 3.18-3.19
Zr1 0.5000 0.3279 0.0000  5 Zr 2.75-2.96
Zr2 0.5000 0.6721 0.0000  5 Zr 2.75-2.96
Zr3 0.5047 0.0000 0.6721  5 Zr 2.75-2.96
Zr4 0.4953 0.3279 0.3279  5 Zr 2.75-2.96
Ti2 0.0000 0.6667 0.3333  2 Ti 2.96, 12 Zr 3.18-3.19
Zr5 0.4953 0.0000 0.3279  5 Zr 2.75-2.96
Zr6 0.5047 0.6721 0.6721  5 Zr 2.75-2.96

Properties
As for the crystal system: monoclinic. The value obtained for the formation energy is 0.009 eV/atom.


Record 4
Computed, not measured: an optimized crystal structure of AgN at the GGA-PBE level of DFT.

a b c (Å): 7.7173 7.7173 4.0877
angles (deg): 90.00 90.00 90.00
Closest atoms and distances in Å follow each position.
Element x y z (fractional)
Ag1 0.9111 0.7261 0.5000  4 N 2.11-2.14
Ag2 0.0889 0.2739 0.5000  4 N 2.11-2.14
Ag3 0.7739 0.4111 0.0000  4 N 2.11-2.14
N1 0.1756 0.6547 0.5000  4 Ag 2.11-2.14
N2 0.6547 0.8244 0.5000  4 Ag 2.11-2.14
Ag4 0.7261 0.0889 0.5000  4 N 2.11-2.14
Ag5 0.2261 0.5889 0.0000  4 N 2.11-2.14
Ag6 0.2739 0.9111 0.5000  4 N 2.11-2.14
N3 0.3244 0.8453 0.0000  4 Ag 2.11-2.14
N4 0.1547 0.3244 0.0000  4 Ag 2.11-2.14
N5 0.8453 0.6756 0.0000  4 Ag 2.11-2.14
N6 0.8244 0.3453 0.5000  4 Ag 2.11-2.14
Ag7 0.4111 0.2261 0.0000  4 N 2.11-2.14
Ag8 0.5889 0.7739 0.0000  4 N 2.11-2.14
N7 0.6756 0.1547 0.0000  4 Ag 2.11-2.14
N8 0.3453 0.1756 0.5000  4 Ag 2.11-2.14

Properties
As for the crystal system: tetragonal. Its offset from the most stable computed form is 1255 meV per atom.


Record 5
Computed, not measured: an optimized crystal structure of Li2MgHPd at the GGA-PBE level of DFT.

a b c (Å): 3.8689 3.8689 4.2790
angles (deg): 90.00 90.00 90.00
Closest atoms and distances in Å follow each position.
Element x y z (fractional)
Pd1 0.5000 0.5000 0.5000  4 Mg 2.74, 8 Li 2.88
Mg1 0.0000 0.0000 0.5000  2 H 2.14
Li1 0.0000 0.5000 0.0000  2 H 1.93
Li2 0.5000 0.0000 0.0000  2 H 1.93
H1 0.0000 0.0000 0.0000  4 Li 1.93, 2 Mg 2.14

Properties
As for the crystal system: tetragonal. Its offset from the most stable computed form is 0 meV per atom.


Record 6
Computed, not measured: an optimized crystal structure of ZrCd2Au at the GGA-PBE level of DFT.

a b c (Å): 4.5742 3.0015 6.2283
angles (deg): 76.22 90.00 90.00
Closest atoms and distances in Å follow each position.
Element x y z (fractional)
Zr1 0.0000 0.5472 0.5301  4 Au 2.97-2.98, 2 Zr 3.00, 7 Cd 3.14-3.27
Au1 0.5000 0.9512 0.7236  3 Cd 2.87-2.95, 4 Zr 2.97-2.98, 2 Au 3.00
Cd1 0.0000 0.8087 0.0109  2 Au 2.87, 6 Cd 3.00-3.06, 1 Zr 3.14
Cd2 0.5000 0.1928 0.2354  1 Au 2.95, 6 Cd 3.00-3.06, 4 Zr 3.26-3.27

Properties
As for the crystal system: monoclinic. The value obtained for the formation energy is -0.221 eV/atom.


Record 7
Computed, not measured: an optimized crystal structure of KY2Fe at the GGA-PBE level of DFT.

a b c (Å): 3.9437 3.9437 10.4722
angles (deg): 80.20 80.20 58.67
Closest atoms and distances in Å follow each position.
Element x y z (fractional)
Fe1 0.7500 0.7500 0.7500  6 Y 2.69-2.70
Y1 0.0357 0.0357 0.8931  3 Fe 2.69-2.70
K1 0.2500 0.2500 0.2500  6 K 3.86-3.94, 6 Y 4.28-4.32
Y2 0.4643 0.4643 0.6069  3 Fe 2.69-2.70

Properties
As for the crystal system: monoclinic. The value obtained for the formation energy is 0.280 eV/atom. Its offset from the most stable computed form is 73 meV per atom.


Record 8
Computed, not measured: an optimized crystal structure of V12Fe6As at the GGA-PBE level of DFT.

a b c (Å): 6.7736 6.7736 6.7736
angles (deg): 102.08 102.08 102.08
Closest atoms and distances in Å follow each position.
Element x y z (fractional)
Fe1 0.6098 0.3136 0.1366  6 V 2.24-2.38
Fe2 0.3902 0.6864 0.8634  6 V 2.24-2.38
V1 0.1744 0.4263 0.5746  4 Fe 2.31-2.38
V2 0.4254 0.8256 0.5737  4 Fe 2.31-2.38
V3 0.5746 0.1744 0.4263  4 Fe 2.31-2.38
Fe3 0.6864 0.8634 0.3902  6 V 2.24-2.38
V4 0.8256 0.5737 0.4254  4 Fe 2.31-2.38
V5 0.5737 0.4254 0.8256  4 Fe 2.31-2.38
Fe4 0.3136 0.1366 0.6098  6 V 2.24-2.38
V6 0.0800 0.6647 0.9385  2 Fe 2.24-2.25, 1 As 2.42
V7 0.9200 0.3353 0.0615  2 Fe 2.24-2.25, 1 As 2.42
V8 0.4263 0.5746 0.1744  4 Fe 2.31-2.38
V9 0.3353 0.0615 0.9200  2 Fe 2.24-2.25, 1 As 2.42
As1 0.0000 0.0000 0.0000  6 V 2.42
V10 0.6647 0.9385 0.0800  2 Fe 2.24-2.25, 1 As 2.42
Fe5 0.1366 0.6098 0.3136  6 V 2.24-2.38
V11 0.0615 0.9200 0.3353  2 Fe 2.24-2.25, 1 As 2.42
Fe6 0.8634 0.3902 0.6864  6 V 2.24-2.38
V12 0.9385 0.0800 0.6647  2 Fe 2.24-2.25, 1 As 2.42

Properties
As for the crystal system: trigonal. The value obtained for the formation energy is 0.402 eV/atom.


Record 9
Computed, not measured: an optimized crystal structure of LaMo at the GGA-PBE level of DFT.

a b c (Å): 6.5977 6.5270 9.1108
angles (deg): 90.00 90.00 90.00
Closest atoms and distances in Å follow each position.
Element x y z (fractional)
La1 0.1542 0.3327 0.2990  3 Mo 2.88-3.13, 1 La 3.18
Mo1 0.1989 0.2116 0.6753  1 Mo 2.42
Mo2 0.6989 0.2884 0.3247  1 Mo 2.42
Mo3 0.4485 0.0425 0.4042  1 Mo 2.42
La2 0.6542 0.1673 0.7010  3 Mo 2.88-3.13, 1 La 3.18
Mo4 0.0515 0.9575 0.9042  1 Mo 2.42
Mo5 0.8011 0.7116 0.8247  1 Mo 2.42
La3 0.8458 0.8327 0.2010  3 Mo 2.88-3.13, 1 La 3.18
Mo6 0.3011 0.7884 0.1753  1 Mo 2.42
La4 0.5039 0.6003 0.4725  2 Mo 2.76-2.98
La5 0.4961 0.1003 0.0275  2 Mo 2.76-2.98
Mo7 0.5515 0.5425 0.0958  1 Mo 2.42
Mo8 0.9485 0.4575 0.5958  1 Mo 2.42
La6 0.9961 0.3997 0.9725  2 Mo 2.76-2.98
La7 0.0039 0.8997 0.5275  2 Mo 2.76-2.98
La8 0.3458 0.6673 0.7990  3 Mo 2.88-3.13, 1 La 3.18

Properties
As for the crystal system: orthorhombic. The value obtained for the formation energy is 0.436 eV/atom. Its offset from the most stable computed form is 195 meV per atom.


Record 10
Computed, not measured: an optimized crystal structure of ErTm3In3 at the GGA-PBE level of DFT.

a b c (Å): 9.2124 9.2124 9.2124
angles (deg): 90.00 90.00 90.00
Closest atoms and distances in Å follow each position.
Element x y z (fractional)
Tm1 0.8252 0.3252 0.1748  6 In 3.11-3.27
Tm2 0.1757 0.1757 0.1757  6 In 3.10-3.27
Tm3 0.6757 0.3243 0.8243  6 In 3.10-3.27
Tm4 0.3252 0.1748 0.8252  6 In 3.11-3.27
Er1 0.4283 0.4283 0.4283  6 In 3.12-3.29
In1 0.0008 0.7455 0.6239  6 Tm 3.10-3.27, 2 Er 3.12-3.29
Tm5 0.3243 0.8243 0.6757  6 In 3.10-3.27
In2 0.8761 0.9992 0.2455  6 Tm 3.10-3.27, 2 Er 3.12-3.29
Tm6 0.5791 0.0791 0.4209  6 In 3.10-3.26
Tm7 0.8243 0.6757 0.3243  6 In 3.10-3.27
In3 0.9992 0.2455 0.8761  6 Tm 3.10-3.27, 2 Er 3.12-3.29
Tm8 0.6748 0.6748 0.6748  6 In 3.11-3.27
Tm9 0.0791 0.4209 0.5791  6 In 3.10-3.26
In4 0.3761 0.5008 0.7545  6 Tm 3.10-3.27, 2 Er 3.12-3.29
Er2 0.9283 0.0717 0.5717  6 In 3.12-3.29
In5 0.5008 0.7545 0.3761  6 Tm 3.10-3.27, 2 Er 3.12-3.29
In6 0.2545 0.1239 0.4992  6 Tm 3.10-3.27, 2 Er 3.12-3.29
In7 0.1239 0.4992 0.2545  6 Tm 3.10-3.27, 2 Er 3.12-3.29
In8 0.6239 0.0008 0.7455  6 Tm 3.10-3.27, 2 Er 3.12-3.29
Tm10 0.4209 0.5791 0.0791  6 In 3.10-3.26
In9 0.7455 0.6239 0.0008  6 Tm 3.10-3.27, 2 Er 3.12-3.29
In10 0.2455 0.8761 0.9992  6 Tm 3.10-3.27, 2 Er 3.12-3.29
Er3 0.0717 0.5717 0.9283  6 In 3.12-3.29
In11 0.7545 0.3761 0.5008  6 Tm 3.10-3.27, 2 Er 3.12-3.29
Tm11 0.9209 0.9209 0.9209  6 In 3.10-3.26
Er4 0.5717 0.9283 0.0717  6 In 3.12-3.29
In12 0.4992 0.2545 0.1239  6 Tm 3.10-3.27, 2 Er 3.12-3.29
Tm12 0.1748 0.8252 0.3252  6 In 3.11-3.27

Properties
As for the crystal system: cubic. The value obtained for the formation energy is -0.282 eV/atom. Its offset from the most stable computed form is 36 meV per atom.